Compound: Ta4CoAsC2
Source: OQMD
Functional: GGA-PBE
Structure: relaxed

abc: 3.1822 3.1822 12.5383
angles: 90.00 90.00 120.00
With the nearest neighbours (Å) after each atom.
Fractional positions:
Co 0.6667 0.3333 0.5000  6 Ta 2.64
C 0.3333 0.6667 0.2514  6 Ta 2.21-2.22
C 0.3333 0.6667 0.7486  6 Ta 2.21-2.22
Ta 0.0000 0.0000 0.3486  3 C 2.21
Ta 0.6667 0.3333 0.1526  3 C 2.22
Ta 0.6667 0.3333 0.8474  3 C 2.22
Ta 0.0000 0.0000 0.6514  3 C 2.21
As 0.0000 0.0000 0.0000  6 Ta 2.65

Crystal system = hexagonal
SG = No. 187
Total magnetization = 0.293 μB/f.u.

---

Compound: TmAsN2O
Source: OQMD
Functional: GGA-PBE
Structure: relaxed

abc: 5.4261 5.4357 9.1119
angles: 76.75 76.85 60.74
With the nearest neighbours (Å) after each atom.
Fractional positions:
N 0.1744 0.6304 0.1229  2 As 2.00-2.07
N 0.8453 0.4914 0.3399  2 As 1.92
N 0.6689 0.7262 0.5831  2 As 1.81-2.00
N 0.2473 0.5177 0.6680  2 As 1.84-1.96
N 0.4511 0.3049 0.3897  2 As 1.87-1.95
N 0.5703 0.0383 0.1390  2 As 1.92-2.06
N 0.8112 0.1238 0.6201  2 As 1.79-1.84
N 0.8594 0.7534 0.9055  2 As 1.83-1.93
As 0.8654 0.7711 0.7022  4 N 1.79-1.84
As 0.9306 0.0034 0.9903  3 O 1.81-1.91, 1 N 1.93
As 0.2397 0.2723 0.2661  4 N 1.87-2.00, 1 O 1.92
As 0.5789 0.4598 0.5131  5 N 1.84-2.00
Tm 0.8775 0.8992 0.3360  2 O 2.29-2.41, 5 N 2.30-2.48
Tm 0.6080 0.6070 0.1217  2 O 2.26-2.49, 4 N 2.29-2.41
Tm 0.3092 0.3409 0.9258  3 O 2.17-2.43, 3 N 2.36-2.41
Tm 0.2343 0.1093 0.6102  4 N 2.24-2.43, 2 O 2.24-2.43
O 0.2603 0.9244 0.3852  1 As 1.92
O 0.2534 0.9853 0.8613  1 As 1.85
O 0.7091 0.3578 0.9006  1 As 1.81
O 0.0056 0.1834 0.1192  1 As 1.91

Crystal system = triclinic
SG = No. 1
Total magnetization = 0.000 μB/f.u.

---

Compound: Be2CuBi
Source: OQMD
Functional: GGA-PBE
Structure: relaxed

abc: 4.4837 4.4837 4.4837
angles: 60.00 60.00 60.00
With the nearest neighbours (Å) after each atom.
Fractional positions:
Be 0.5000 0.5000 0.5000  4 Cu 2.75, 4 Be 2.75
Be 0.7500 0.7500 0.7500  4 Be 2.75, 4 Bi 2.75
Cu 0.2500 0.2500 0.2500  4 Be 2.75, 4 Bi 2.75
Bi 0.0000 0.0000 0.0000  4 Cu 2.75, 4 Be 2.75

Crystal system = cubic
SG = No. 216

---

no.,final energy (eV per atom)
1,-10.102
2,-7.024
3,-3.044